# PBE Ac3CdAg3, relaxed
# Energy relative to the elements in kcal/mol of atoms: -6.1
# ΔE to the lowest computed polymorph in eV/atom: 0.0000
# Magnetization in Bohr magnetons per cell: 0.0
# DOS(E_F) in states/eV per atom: 0.89
data_Ac3CdAg3
_cell_length_a 12.018
_cell_length_b 4.762
_cell_length_c 15.840
_cell_angle_alpha 90.00
_cell_angle_beta 109.44
_cell_angle_gamma 90.00
_space_group_name_H-M_alt 'C 1 2/m 1'
_space_group_IT_number 12
loop_
_space_group_symop_operation_xyz
'x,y,z'
'-x,-y,-z'
'-x,y,-z'
'x,-y,z'
'x+1/2,y+1/2,z'
'-x+1/2,-y+1/2,-z'
'-x+1/2,y+1/2,-z'
'x+1/2,-y+1/2,z'
loop_
_atom_site_label
_atom_site_type_symbol
_atom_site_fract_x
_atom_site_fract_y
_atom_site_fract_z
Ac1 Ac 0.032 0.000 0.385
Ac2 Ac 0.110 0.000 0.922
Ac3 Ac 0.241 0.000 0.229
Cd1 Cd 0.243 0.500 0.397
Ag1 Ag 0.028 0.500 0.232
Ag2 Ag 0.108 0.500 0.077
Ag3 Ag 0.126 0.500 0.545

# PBE CaBeAl2Au4, relaxed
# Energy relative to the elements in kcal/mol of atoms: -9.8
# Magnetization in Bohr magnetons per cell: 0.0
# DOS(E_F) in states/eV per atom: 0.36
data_CaBeAl2Au4
_cell_length_a 4.4227
_cell_length_b 4.4227
_cell_length_c 25.9088
_cell_angle_alpha 90.00
_cell_angle_beta 90.00
_cell_angle_gamma 120.00
_space_group_name_H-M_alt 'R -3 m'
_space_group_IT_number 166
_space_group_name_Hall '-R 3 2"'
loop_
_atom_site_label
_atom_site_type_symbol
_atom_site_fract_x
_atom_site_fract_y
_atom_site_fract_z
Ca1 Ca 0.0000 0.0000 0.0000
Be1 Be 0.0000 0.0000 0.5000
Al1 Al 0.0000 0.0000 0.2430
Au1 Au 0.0000 0.0000 0.1375
Au2 Au 0.0000 0.0000 0.4044

# PBE Hf3TaAg, relaxed
# Energy relative to the elements in kcal/mol of atoms: 31.5
# ΔE to the lowest computed polymorph in eV/atom: 0.2326
# Magnetization in Bohr magnetons per cell: 2.1
# DOS(E_F) in states/eV per atom: 0.97
data_Hf3TaAg
_cell_length_a 5.005
_cell_length_b 5.005
_cell_length_c 5.005
_cell_angle_alpha 90.00
_cell_angle_beta 90.00
_cell_angle_gamma 90.00
_space_group_name_H-M_alt 'P m -3 m'
_space_group_IT_number 221
_space_group_name_Hall '-P 4 2 3'
loop_
_atom_site_label
_atom_site_type_symbol
_atom_site_fract_x
_atom_site_fract_y
_atom_site_fract_z
Hf1 Hf 0.000 0.000 0.500
Ta1 Ta 0.500 0.500 0.500
Ag1 Ag 0.000 0.000 0.000

# PBE HPt3F, relaxed
# Final energy in eV per atom: -4.4422
# Magnetization in Bohr magnetons per cell: 0.0
# DOS(E_F) in states/eV per atom: 0.53
data_HPt3F
_cell_length_a 3.969
_cell_length_b 3.969
_cell_length_c 3.969
_cell_angle_alpha 90.00
_cell_angle_beta 90.00
_cell_angle_gamma 90.00
_space_group_name_H-M_alt 'P m -3 m'
_space_group_IT_number 221
_space_group_name_Hall '-P 4 2 3'
loop_
_atom_site_label
_atom_site_type_symbol
_atom_site_fract_x
_atom_site_fract_y
_atom_site_fract_z
H1 H 0.000 0.000 0.000
Pt1 Pt 0.000 0.000 0.500
F1 F 0.500 0.500 0.500

# PBE Na4MgTe3S8, relaxed
# Magnetization in Bohr magnetons per cell: 0.0
# Formation energy without anion corrections in meV/atom: -578
# DOS(E_F) in states/eV per atom: 0.08
data_Na4MgTe3S8
_cell_length_a 14.295
_cell_length_b 7.651
_cell_length_c 8.035
_cell_angle_alpha 90.00
_cell_angle_beta 122.42
_cell_angle_gamma 90.00
_space_group_name_H-M_alt 'C 1 2/m 1'
_space_group_IT_number 12
loop_
_space_group_symop_operation_xyz
'x,y,z'
'-x,-y,-z'
'-x,y,-z'
'x,-y,z'
'x+1/2,y+1/2,z'
'-x+1/2,-y+1/2,-z'
'-x+1/2,y+1/2,-z'
'x+1/2,-y+1/2,z'
loop_
_atom_site_label
_atom_site_type_symbol
_atom_site_fract_x
_atom_site_fract_y
_atom_site_fract_z
Na1 Na 0.000 0.000 0.000
Na2 Na 0.000 0.500 0.000
Na3 Na 0.250 0.250 0.500
Mg1 Mg 0.000 0.000 0.500
Te1 Te 0.000 0.500 0.500
Te2 Te 0.250 0.250 0.000
S1 S 0.018 0.249 0.742
S2 S 0.226 0.000 0.201
S3 S 0.243 0.000 0.756

# PBE SiIr3O, relaxed
# ΔE to the lowest computed polymorph in eV/atom: 0.0000
# Magnetization in Bohr magnetons per cell: 0.0
# Formation energy without anion corrections in meV/atom: 886
# DOS(E_F) in states/eV per atom: 1.61
data_SiIr3O
_cell_length_a 4.135
_cell_length_b 4.135
_cell_length_c 4.135
_cell_angle_alpha 90.00
_cell_angle_beta 90.00
_cell_angle_gamma 90.00
_space_group_name_H-M_alt 'P m -3 m'
_space_group_IT_number 221
_space_group_name_Hall '-P 4 2 3'
loop_
_atom_site_label
_atom_site_type_symbol
_atom_site_fract_x
_atom_site_fract_y
_atom_site_fract_z
Si1 Si 0.000 0.000 0.000
Ir1 Ir 0.000 0.500 0.500
O1 O 0.500 0.500 0.500

# PBE ZnTc3Pd, relaxed
# Energy relative to the elements in kcal/mol of atoms: 39.3
# ΔE to the lowest computed polymorph in eV/atom: 0.0000
# Magnetization in Bohr magnetons per cell: 0.0
# DOS(E_F) in states/eV per atom: 1.60
data_ZnTc3Pd
_cell_length_a 4.457
_cell_length_b 4.457
_cell_length_c 4.457
_cell_angle_alpha 90.00
_cell_angle_beta 90.00
_cell_angle_gamma 90.00
_space_group_name_H-M_alt 'P m -3 m'
_space_group_IT_number 221
_space_group_name_Hall '-P 4 2 3'
loop_
_atom_site_label
_atom_site_type_symbol
_atom_site_fract_x
_atom_site_fract_y
_atom_site_fract_z
Zn1 Zn 0.000 0.000 0.000
Tc1 Tc 0.000 0.000 0.500
Pd1 Pd 0.500 0.500 0.500

# PBE CeSmTm2, relaxed
# Energy relative to the elements in kcal/mol of atoms: 1.1
# ΔE to the lowest computed polymorph in eV/atom: 0.0000
# Magnetization in Bohr magnetons per cell: 1.6
# DOS(E_F) in states/eV per atom: 1.98
data_CeSmTm2
_cell_length_a 3.5292
_cell_length_b 3.5292
_cell_length_c 34.1527
_cell_angle_alpha 90.00
_cell_angle_beta 90.00
_cell_angle_gamma 120.00
_space_group_name_H-M_alt 'R 3 m'
_space_group_IT_number 160
_space_group_name_Hall 'R 3 -2"'
loop_
_atom_site_label
_atom_site_type_symbol
_atom_site_fract_x
_atom_site_fract_y
_atom_site_fract_z
Ce1 Ce 0.0000 0.0000 0.0000
Sm1 Sm 0.0000 0.0000 0.8343
Tm1 Tm 0.0000 0.0000 0.4150
Tm2 Tm 0.0000 0.0000 0.5854

# PBE HgPtSe2, relaxed
# ΔE to the lowest computed polymorph in eV/atom: 0.3305
# Magnetization in Bohr magnetons per cell: 0.0
# Formation energy without anion corrections in meV/atom: 38
# DOS(E_F) in states/eV per atom: 0.67
data_HgPtSe2
_cell_length_a 4.0372
_cell_length_b 4.0372
_cell_length_c 7.0951
_cell_angle_alpha 90.00
_cell_angle_beta 90.00
_cell_angle_gamma 120.00
_space_group_name_H-M_alt 'P 3 m 1'
_space_group_IT_number 156
loop_
_space_group_symop_operation_xyz
'x,y,z'
'-y,x-y,z'
'-x+y,-x,z'
'-y,-x,z'
'-x+y,y,z'
'x,x-y,z'
loop_
_atom_site_label
_atom_site_type_symbol
_atom_site_fract_x
_atom_site_fract_y
_atom_site_fract_z
Hg1 Hg 0.0000 0.0000 0.0000
Pt1 Pt 0.3333 0.6667 0.4591
Se1 Se 0.3333 0.6667 0.7965
Se2 Se 0.6667 0.3333 0.3288

# PBE BaLuBi, relaxed
# Energy relative to the elements in kcal/mol of atoms: -9.5
# Magnetization in Bohr magnetons per cell: 0.0
# DOS(E_F) in states/eV per atom: 0.51
data_BaLuBi
_cell_length_a 5.2801
_cell_length_b 5.2801
_cell_length_c 4.9218
_cell_angle_alpha 90.00
_cell_angle_beta 90.00
_cell_angle_gamma 120.00
_space_group_name_H-M_alt 'P -6 m 2'
_space_group_IT_number 187
_space_group_name_Hall 'P -6 2'
loop_
_atom_site_label
_atom_site_type_symbol
_atom_site_fract_x
_atom_site_fract_y
_atom_site_fract_z
Ba1 Ba 0.0000 0.0000 0.0000
Lu1 Lu 0.6667 0.3333 0.5000
Bi1 Bi 0.3333 0.6667 0.5000

# PBE PrErAl6, relaxed
# Energy relative to the elements in kcal/mol of atoms: -9.6
# Magnetization in Bohr magnetons per cell: 0.0
# DOS(E_F) in states/eV per atom: 0.40
data_PrErAl6
_cell_length_a 6.3659
_cell_length_b 6.3659
_cell_length_c 4.6615
_cell_angle_alpha 90.00
_cell_angle_beta 90.00
_cell_angle_gamma 120.00
_space_group_name_H-M_alt 'P -6 m 2'
_space_group_IT_number 187
_space_group_name_Hall 'P -6 2'
loop_
_atom_site_label
_atom_site_type_symbol
_atom_site_fract_x
_atom_site_fract_y
_atom_site_fract_z
Pr1 Pr 0.0000 0.0000 0.0000
Er1 Er 0.6667 0.3333 0.5000
Al1 Al 0.0419 0.5209 0.0000
Al2 Al 0.1913 0.3825 0.5000

# PBE PmErZr, relaxed
# Energy relative to the elements in kcal/mol of atoms: 4.8
# ΔE to the lowest computed polymorph in eV/atom: 0.1128
# Magnetization in Bohr magnetons per cell: 0.0
# DOS(E_F) in states/eV per atom: 1.75
data_PmErZr
_cell_length_a 10.930
_cell_length_b 3.325
_cell_length_c 11.007
_cell_angle_alpha 90.00
_cell_angle_beta 116.98
_cell_angle_gamma 90.00
_space_group_name_H-M_alt 'C 1 2/m 1'
_space_group_IT_number 12
loop_
_space_group_symop_operation_xyz
'x,y,z'
'-x,-y,-z'
'-x,y,-z'
'x,-y,z'
'x+1/2,y+1/2,z'
'-x+1/2,-y+1/2,-z'
'-x+1/2,y+1/2,-z'
'x+1/2,-y+1/2,z'
loop_
_atom_site_label
_atom_site_type_symbol
_atom_site_fract_x
_atom_site_fract_y
_atom_site_fract_z
Pm1 Pm 0.174 0.000 0.088
Er1 Er 0.007 0.000 0.719
Zr1 Zr 0.163 0.500 0.563

# PBE Tl2PRh, relaxed
# Energy relative to the elements in kcal/mol of atoms: 10.2
# ΔE to the lowest computed polymorph in eV/atom: 0.6013
# Magnetization in Bohr magnetons per cell: 0.0
# DOS(E_F) in states/eV per atom: 0.64
data_Tl2PRh
_cell_length_a 3.584
_cell_length_b 3.584
_cell_length_c 6.226
_cell_angle_alpha 90.00
_cell_angle_beta 90.00
_cell_angle_gamma 90.00
_space_group_name_H-M_alt 'P 4/m m m'
_space_group_IT_number 123
_space_group_name_Hall '-P 4 2'
loop_
_atom_site_label
_atom_site_type_symbol
_atom_site_fract_x
_atom_site_fract_y
_atom_site_fract_z
Tl1 Tl 0.000 0.000 0.246
P1 P 0.500 0.500 0.500
Rh1 Rh 0.500 0.500 0.000

# PBE LaAl2Re, relaxed
# Energy relative to the elements in kcal/mol of atoms: 5.5
# ΔE to the lowest computed polymorph in eV/atom: 0.4094
# Magnetization in Bohr magnetons per cell: 0.0
# DOS(E_F) in states/eV per atom: 1.26
data_LaAl2Re
_cell_length_a 6.750
_cell_length_b 6.750
_cell_length_c 6.750
_cell_angle_alpha 90.00
_cell_angle_beta 90.00
_cell_angle_gamma 90.00
_space_group_name_H-M_alt 'F -4 3 m'
_space_group_IT_number 216
_space_group_name_Hall 'F -4 2 3'
loop_
_atom_site_label
_atom_site_type_symbol
_atom_site_fract_x
_atom_site_fract_y
_atom_site_fract_z
La1 La 0.000 0.000 0.000
Al1 Al 0.000 0.000 0.500
Al2 Al 0.250 0.250 0.250
Re1 Re 0.250 0.250 0.750

# PBE TbPmTm14, relaxed
# Energy relative to the elements in kcal/mol of atoms: 0.3
# Magnetization in Bohr magnetons per cell: 0.0
# DOS(E_F) in states/eV per atom: 1.41
data_TbPmTm14
_cell_length_a 11.309
_cell_length_b 7.052
_cell_length_c 12.186
_cell_angle_alpha 90.00
_cell_angle_beta 90.00
_cell_angle_gamma 90.00
_space_group_name_H-M_alt 'A m m 2'
_space_group_IT_number 38
loop_
_space_group_symop_operation_xyz
'x,y,z'
'-x,-y,z'
'-x,y,z'
'x,-y,z'
'x,y+1/2,z+1/2'
'-x,-y+1/2,z+1/2'
'-x,y+1/2,z+1/2'
'x,-y+1/2,z+1/2'
loop_
_atom_site_label
_atom_site_type_symbol
_atom_site_fract_x
_atom_site_fract_y
_atom_site_fract_z
Tb1 Tb 0.000 0.000 0.000
Pm1 Pm 0.000 0.000 0.500
Tm1 Tm 0.000 0.250 0.250
Tm2 Tm 0.251 0.000 0.167
Tm3 Tm 0.252 0.000 0.667
Tm4 Tm 0.253 0.250 0.417
Tm5 Tm 0.500 0.000 0.334
Tm6 Tm 0.500 0.000 0.834
Tm7 Tm 0.500 0.250 0.084

# PBE LiYSn, relaxed
# Energy relative to the elements in kcal/mol of atoms: -11.2
# Magnetization in Bohr magnetons per cell: 0.9
# DOS(E_F) in states/eV per atom: 0.51
data_LiYSn
_cell_length_a 4.660
_cell_length_b 15.137
_cell_length_c 4.134
_cell_angle_alpha 90.00
_cell_angle_beta 90.00
_cell_angle_gamma 90.00
_space_group_name_H-M_alt 'C m m m'
_space_group_IT_number 65
_space_group_name_Hall '-C 2 2'
loop_
_atom_site_label
_atom_site_type_symbol
_atom_site_fract_x
_atom_site_fract_y
_atom_site_fract_z
Li1 Li 0.000 0.000 0.000
Li2 Li 0.000 0.500 0.500
Y1 Y 0.000 0.166 0.500
Sn1 Sn 0.000 0.358 0.000

# PBE Dy3TiTl3O8, relaxed
# Magnetization in Bohr magnetons per cell: 0.0
# Formation energy without anion corrections in meV/atom: -2484
data_Dy3TiTl3O8
_cell_length_a 6.7648
_cell_length_b 6.7648
_cell_length_c 19.6405
_cell_angle_alpha 90.00
_cell_angle_beta 90.00
_cell_angle_gamma 120.00
_space_group_name_H-M_alt 'R -3 m'
_space_group_IT_number 166
_space_group_name_Hall '-R 3 2"'
loop_
_atom_site_label
_atom_site_type_symbol
_atom_site_fract_x
_atom_site_fract_y
_atom_site_fract_z
Dy1 Dy 0.0000 0.5000 0.0000
Ti1 Ti 0.0000 0.0000 0.0000
Tl1 Tl 0.0000 0.5000 0.5000
O1 O 0.0000 0.0000 0.2769
O2 O 0.0343 0.5171 0.7203

# PBE TbZrPa2, relaxed
# Energy relative to the elements in kcal/mol of atoms: 5.0
# ΔE to the lowest computed polymorph in eV/atom: 0.0230
# Magnetization in Bohr magnetons per cell: 0.0
# DOS(E_F) in states/eV per atom: 2.05
data_TbZrPa2
_cell_length_a 4.507
_cell_length_b 4.507
_cell_length_c 5.073
_cell_angle_alpha 90.00
_cell_angle_beta 90.00
_cell_angle_gamma 90.00
_space_group_name_H-M_alt 'P 4/m m m'
_space_group_IT_number 123
_space_group_name_Hall '-P 4 2'
loop_
_atom_site_label
_atom_site_type_symbol
_atom_site_fract_x
_atom_site_fract_y
_atom_site_fract_z
Tb1 Tb 0.000 0.000 0.000
Zr1 Zr 0.500 0.500 0.000
Pa1 Pa 0.000 0.500 0.500

# PBE La2P3RuRh12, relaxed
# Energy relative to the elements in kcal/mol of atoms: -3.4
# Magnetization in Bohr magnetons per cell: 5.5
# DOS(E_F) in states/eV per atom: 0.80
data_La2P3RuRh12
_cell_length_a 8.5424
_cell_length_b 8.5424
_cell_length_c 14.8562
_cell_angle_alpha 90.00
_cell_angle_beta 90.00
_cell_angle_gamma 120.00
_space_group_name_H-M_alt 'R -3 m'
_space_group_IT_number 166
_space_group_name_Hall '-R 3 2"'
loop_
_atom_site_label
_atom_site_type_symbol
_atom_site_fract_x
_atom_site_fract_y
_atom_site_fract_z
La1 La 0.0000 0.0000 0.1103
P1 P 0.0000 0.5000 0.0000
Ru1 Ru 0.0000 0.0000 0.5000
Rh1 Rh 0.0100 0.5050 0.8517
Rh2 Rh 0.0582 0.5291 0.3578

# PBE HfNpOsRu, relaxed
# Energy relative to the elements in kcal/mol of atoms: -5.7
# Magnetization in Bohr magnetons per cell: 13.2
# DOS(E_F) in states/eV per atom: 0.90
data_HfNpOsRu
_cell_length_a 6.636
_cell_length_b 6.636
_cell_length_c 6.636
_cell_angle_alpha 90.00
_cell_angle_beta 90.00
_cell_angle_gamma 90.00
_space_group_name_H-M_alt 'F -4 3 m'
_space_group_IT_number 216
_space_group_name_Hall 'F -4 2 3'
loop_
_atom_site_label
_atom_site_type_symbol
_atom_site_fract_x
_atom_site_fract_y
_atom_site_fract_z
Hf1 Hf 0.000 0.000 0.000
Np1 Np 0.000 0.000 0.500
Os1 Os 0.250 0.250 0.250
Ru1 Ru 0.250 0.250 0.750